No. 1
# YFeSi2 | Alexandria | PBE-GGA | relaxed
data_YFeSi2
_space_group_name_H-M_alt 'P 1'
_space_group_IT_number 1
_cell_length_a 4.069
_cell_length_b 3.599
_cell_length_c 4.872
_cell_angle_alpha 89.92
_cell_angle_beta 90.00
_cell_angle_gamma 90.00
loop_
_space_group_symop_operation_xyz
'x,y,z'
loop_
_atom_site_label
_atom_site_type_symbol
_atom_site_fract_x
_atom_site_fract_y
_atom_site_fract_z
_atom_site_occupancy
Si1 Si 0.000 0.749 0.506 1
Si2 Si 0.000 0.751 0.994 1
Fe1 Fe 0.500 0.750 0.750 1
Y1 Y 0.500 0.250 0.250 1
# Symmetry: P2/m (10)
# D(E_F): 0.616 states/eV per atom
# Crystal system: monoclinic
# ΔE_f (raw): -0.33 eV/atom
# M_tot: 0.76 μB per cell



No. 2
# Y2FeSi | Alexandria | PBE-GGA | relaxed
data_Y2FeSi
_space_group_name_H-M_alt 'P 1'
_space_group_IT_number 1
_cell_length_a 6.096
_cell_length_b 6.096
_cell_length_c 4.484
_cell_angle_alpha 68.42
_cell_angle_beta 68.42
_cell_angle_gamma 33.25
loop_
_space_group_symop_operation_xyz
'x,y,z'
loop_
_atom_site_label
_atom_site_type_symbol
_atom_site_fract_x
_atom_site_fract_y
_atom_site_fract_z
_atom_site_occupancy
Y1 Y 0.227 0.227 0.273 1
Y2 Y 0.001 0.001 0.999 1
Si1 Si 0.813 0.813 0.687 1
Fe1 Fe 0.460 0.460 0.540 1
# Symmetry: Imm2 (44)
# D(E_F): 1.013 states/eV per atom
# Crystal system: orthorhombic
# ΔE_f (raw): -0.24 eV/atom
# M_tot: 1.48 μB per cell



No. 3
# Y2Fe12Si7 | Alexandria | PBE-GGA | relaxed
data_Y2Fe12Si7
_space_group_name_H-M_alt 'P 1'
_space_group_IT_number 1
_cell_length_a 3.736
_cell_length_b 9.138
_cell_length_c 9.138
_cell_angle_alpha 120.00
_cell_angle_beta 90.00
_cell_angle_gamma 90.00
loop_
_space_group_symop_operation_xyz
'x,y,z'
loop_
_atom_site_label
_atom_site_type_symbol
_atom_site_fract_x
_atom_site_fract_y
_atom_site_fract_z
_atom_site_occupancy
Si1 Si 0.500 0.448 0.063 1
Si2 Si 0.000 0.207 0.276 1
Si3 Si 0.000 0.724 0.931 1
Si4 Si 0.000 0.069 0.793 1
Si5 Si 0.000 0.333 0.667 1
Si6 Si 0.500 0.937 0.385 1
Si7 Si 0.500 0.615 0.552 1
Fe1 Fe 0.000 0.295 0.070 1
Fe2 Fe 0.000 0.930 0.225 1
Fe3 Fe 0.500 0.546 0.769 1
Fe4 Fe 0.000 0.054 0.539 1
Fe5 Fe 0.500 0.231 0.777 1
Fe6 Fe 0.000 0.461 0.514 1
Fe7 Fe 0.500 0.223 0.454 1
Fe8 Fe 0.500 0.724 0.095 1
Fe9 Fe 0.500 0.371 0.276 1
Fe10 Fe 0.000 0.775 0.705 1
Fe11 Fe 0.000 0.486 0.946 1
Fe12 Fe 0.500 0.905 0.629 1
Y1 Y 0.500 0.000 0.000 1
Y2 Y 0.000 0.667 0.333 1
# Symmetry: P-6 (174)
# D(E_F): 0.944 states/eV per atom
# Crystal system: hexagonal
# ΔE_f (raw): -0.42 eV/atom
# M_tot: 10.67 μB per cell



No. 4
# Y2FeSi | Alexandria | PBE-GGA | relaxed
data_Y2FeSi
_space_group_name_H-M_alt 'P 1'
_space_group_IT_number 1
_cell_length_a 8.183
_cell_length_b 8.183
_cell_length_c 8.183
_cell_angle_alpha 25.73
_cell_angle_beta 25.73
_cell_angle_gamma 25.73
loop_
_space_group_symop_operation_xyz
'x,y,z'
loop_
_atom_site_label
_atom_site_type_symbol
_atom_site_fract_x
_atom_site_fract_y
_atom_site_fract_z
_atom_site_occupancy
Y1 Y 0.998 0.998 0.998 1
Y2 Y 0.502 0.502 0.502 1
Si1 Si 0.750 0.750 0.750 1
Fe1 Fe 0.250 0.250 0.250 1
# Symmetry: R-3m (166)
# D(E_F): 0.852 states/eV per atom
# Crystal system: trigonal
# ΔE_f (raw): 0.07 eV/atom
# M_tot: 1.31 μB per cell



No. 5
# YFeSi2 | Alexandria | PBE-GGA | relaxed
data_YFeSi2
_space_group_name_H-M_alt 'P 1'
_space_group_IT_number 1
_cell_length_a 8.209
_cell_length_b 8.209
_cell_length_c 8.209
_cell_angle_alpha 22.45
_cell_angle_beta 22.45
_cell_angle_gamma 22.45
loop_
_space_group_symop_operation_xyz
'x,y,z'
loop_
_atom_site_label
_atom_site_type_symbol
_atom_site_fract_x
_atom_site_fract_y
_atom_site_fract_z
_atom_site_occupancy
Y1 Y 0.495 0.495 0.495 1
Fe1 Fe 0.736 0.736 0.736 1
Si1 Si 0.005 0.005 0.005 1
Si2 Si 0.264 0.264 0.264 1
# Symmetry: R3m (160)
# D(E_F): 0.828 states/eV per atom
# Crystal system: trigonal
# ΔE_f (raw): 0.28 eV/atom
# M_tot: 1.73 μB per cell



No. 6
# YFe3Si | Alexandria | PBE-GGA | relaxed
data_YFe3Si
_space_group_name_H-M_alt 'P 1'
_space_group_IT_number 1
_cell_length_a 4.695
_cell_length_b 4.695
_cell_length_c 4.695
_cell_angle_alpha 90.00
_cell_angle_beta 90.00
_cell_angle_gamma 90.00
loop_
_space_group_symop_operation_xyz
'x,y,z'
loop_
_atom_site_label
_atom_site_type_symbol
_atom_site_fract_x
_atom_site_fract_y
_atom_site_fract_z
_atom_site_occupancy
Si1 Si 0.500 0.500 0.500 1
Fe1 Fe 0.000 0.000 0.500 1
Fe2 Fe 0.000 0.500 0.000 1
Fe3 Fe 0.500 0.000 0.000 1
Y1 Y 0.000 0.000 0.000 1
# Symmetry: Pm-3m (221)
# D(E_F): 0.926 states/eV per atom
# Crystal system: cubic
# ΔE_f (raw): 1.94 eV/atom
# M_tot: 6.81 μB per cell



No. 7
# YFeSi2 | Alexandria | PBE-GGA | relaxed
data_YFeSi2
_space_group_name_H-M_alt 'P 1'
_space_group_IT_number 1
_cell_length_a 3.485
_cell_length_b 3.796
_cell_length_c 5.330
_cell_angle_alpha 90.01
_cell_angle_beta 90.00
_cell_angle_gamma 90.00
loop_
_space_group_symop_operation_xyz
'x,y,z'
loop_
_atom_site_label
_atom_site_type_symbol
_atom_site_fract_x
_atom_site_fract_y
_atom_site_fract_z
_atom_site_occupancy
Si1 Si 0.500 0.125 0.204 1
Si2 Si 0.000 0.125 0.891 1
Fe1 Fe 0.500 0.625 0.948 1
Y1 Y 0.000 0.625 0.457 1
# Symmetry: Pmm2 (25)
# D(E_F): 0.864 states/eV per atom
# Crystal system: orthorhombic
# ΔE_f (raw): -0.27 eV/atom
# M_tot: 1.71 μB per cell



No. 8
# YFeSi2 | Alexandria | PBE-GGA | relaxed
data_YFeSi2
_space_group_name_H-M_alt 'P 1'
_space_group_IT_number 1
_cell_length_a 4.679
_cell_length_b 4.679
_cell_length_c 4.679
_cell_angle_alpha 128.67
_cell_angle_beta 108.45
_cell_angle_gamma 93.37
loop_
_space_group_symop_operation_xyz
'x,y,z'
loop_
_atom_site_label
_atom_site_type_symbol
_atom_site_fract_x
_atom_site_fract_y
_atom_site_fract_z
_atom_site_occupancy
Si1 Si 0.063 0.063 0.000 1
Si2 Si 0.437 0.437 0.000 1
Y1 Y 0.750 0.250 0.500 1
Fe1 Fe 0.250 0.750 0.500 1
# Symmetry: Immm (71)
# D(E_F): 0.729 states/eV per atom
# Crystal system: orthorhombic
# ΔE_f (raw): -0.25 eV/atom
# M_tot: 1.47 μB per cell